The following is a PBE-GGA calculation of an optimized crystal structure of Na2Sn2Te, from Alexandria via LeMat-Bulk.

Cell: 7.6615 7.6615 5.1226 Å, 90.00 90.00 90.00°
Fractional coordinates of all 10 atoms:
Na (0.1501, 0.3499, 0.0000)
Na (0.8499, 0.6501, 0.0000)
Na (0.3499, 0.8499, 0.0000)
Na (0.6501, 0.1501, 0.0000)
Sn (0.1400, 0.6400, 0.5000)
Sn (0.3600, 0.1400, 0.5000)
Sn (0.8600, 0.3600, 0.5000)
Sn (0.6400, 0.8600, 0.5000)
Te (0.0000, 0.0000, 0.0000)
Te (0.5000, 0.5000, 0.0000)

Values from the calculation:
As for the total magnetic moment: 0.00 μB per formula unit. The value obtained for the formation energy (no corrections) is -0.071 eV per atom. The energy above the most stable polymorph in this dataset comes out at 175 meV/atom. The value obtained for the density of states at the Fermi level is 2.07 states/eV/f.u. The volume comes out at 301 Å³ per cell. Its crystal system is tetragonal.